Below is RbTl3Se3 after structural relaxation, with properties calculated at the PBE level.

The calculation puts the formation energy from raw total energies at -323 meV/atom. The total energy is -2.969 eV per atom. As for the calculated density: 5250 kg/m³.

The space group is Pm-3n (No. 223) and the conventional cell measures 8.396, 8.396 and 8.396 Å, with angles of 90.00, 90.00 and 90.00 degrees. Symmetry generates all atoms from Rb at (0.000, 0.000, 0.000), Tl at (0.000, 0.250, 0.500) and Se at (0.000, 0.500, 0.250).